No. 1
# U2InC (GGA-PBE, optimized geometry)
data_U2InC
_cell_length_a 3.1459
_cell_length_b 3.1459
_cell_length_c 26.6484
_cell_angle_alpha 90.00
_cell_angle_beta 90.00
_cell_angle_gamma 120.00
_space_group_name_H-M_alt 'R -3 m'
_space_group_IT_number 166
_space_group_name_Hall '-R 3 2"'
loop_
_atom_site_label
_atom_site_type_symbol
_atom_site_fract_x
_atom_site_fract_y
_atom_site_fract_z
U1 U 0.0000 0.0000 0.2240
In1 In 0.0000 0.0000 0.0000
C1 C 0.0000 0.0000 0.5000
# - Fermi-level density of states: 22.745 states/eV/cell
# - Energy of formation: -0.0557 eV/atom
# - Uncorrected energy: -8.69 eV/atom



No. 2
# UCrMoC3 (GGA-PBE, optimized geometry)
data_UCrMoC3
_cell_length_a 6.5981
_cell_length_b 3.0592
_cell_length_c 7.5945
_cell_angle_alpha 90.00
_cell_angle_beta 102.26
_cell_angle_gamma 90.00
_space_group_name_H-M_alt 'P 1 21/m 1'
_space_group_IT_number 11
loop_
_space_group_symop_operation_xyz
'x,y,z'
'-x,-y,-z'
'-x,y+1/2,-z'
'x,-y+1/2,z'
loop_
_atom_site_label
_atom_site_type_symbol
_atom_site_fract_x
_atom_site_fract_y
_atom_site_fract_z
U1 U 0.1786 0.2500 0.2020
Cr1 Cr 0.1285 0.2500 0.6011
Mo1 Mo 0.3472 0.7500 0.8806
C1 C 0.1133 0.2500 0.8678
C2 C 0.1832 0.7500 0.4630
C3 C 0.4395 0.7500 0.1691
# - Fermi-level density of states: 7.773 states/eV/cell
# - Energy of formation: -0.0079 eV/atom
# - Uncorrected energy: -9.91 eV/atom



No. 3
# Na16In12Pd (GGA-PBE, optimized geometry)
data_Na16In12Pd
_cell_length_a 11.7271
_cell_length_b 16.4536
_cell_length_c 10.0247
_cell_angle_alpha 90.00
_cell_angle_beta 124.02
_cell_angle_gamma 90.00
_space_group_name_H-M_alt 'C 1 m 1'
_space_group_IT_number 8
loop_
_space_group_symop_operation_xyz
'x,y,z'
'x,-y,z'
'x+1/2,y+1/2,z'
'x+1/2,-y+1/2,z'
loop_
_atom_site_label
_atom_site_type_symbol
_atom_site_fract_x
_atom_site_fract_y
_atom_site_fract_z
Na1 Na 0.0000 0.0000 0.0000
Na2 Na 0.0062 0.0000 0.3684
Na3 Na 0.0194 0.3064 0.6661
Na4 Na 0.0525 0.3769 0.3859
Na5 Na 0.2030 0.2066 0.0420
Na6 Na 0.3125 0.0000 0.0749
Na7 Na 0.3226 0.3225 0.3655
Na8 Na 0.3492 0.3398 0.7772
Na9 Na 0.4013 0.0000 0.6920
Na10 Na 0.4366 0.1480 0.9512
In1 In 0.0938 0.0928 0.7267
In2 In 0.1448 0.5000 0.1888
In3 In 0.1883 0.1851 0.5458
In4 In 0.2307 0.4070 0.9915
In5 In 0.2610 0.0927 0.3388
In6 In 0.3163 0.5000 0.5668
In7 In 0.4977 0.3053 0.1803
Pd1 Pd 0.1953 0.5000 0.7387
# - Fermi-level density of states: 23.961 states/eV/cell
# - Energy of formation: -0.1267 eV/atom
# - Uncorrected energy: -2.17 eV/atom



No. 4
# PmSmYIn (GGA-PBE, optimized geometry)
data_PmSmYIn
_cell_length_a 7.8401
_cell_length_b 7.8401
_cell_length_c 7.8401
_cell_angle_alpha 90.00
_cell_angle_beta 90.00
_cell_angle_gamma 90.00
_space_group_name_H-M_alt 'F -4 3 m'
_space_group_IT_number 216
_space_group_name_Hall 'F -4 2 3'
loop_
_atom_site_label
_atom_site_type_symbol
_atom_site_fract_x
_atom_site_fract_y
_atom_site_fract_z
Pm1 Pm 0.0000 0.0000 0.0000
Sm1 Sm 0.0000 0.0000 0.5000
Y1 Y 0.2500 0.2500 0.7500
In1 In 0.2500 0.2500 0.2500
# - Energy above the most stable polymorph in this dataset: 138 meV/atom
# - Fermi-level density of states: 25.037 states/eV/cell
# - Energy of formation: -0.1370 eV/atom
# - Uncorrected energy: -4.81 eV/atom



No. 5
# Zr2SbTe (GGA-PBE, optimized geometry)
data_Zr2SbTe
_cell_length_a 7.2855
_cell_length_b 4.1938
_cell_length_c 7.1759
_cell_angle_alpha 90.00
_cell_angle_beta 109.72
_cell_angle_gamma 90.00
_space_group_name_H-M_alt 'C 1 2/m 1'
_space_group_IT_number 12
loop_
_space_group_symop_operation_xyz
'x,y,z'
'-x,-y,-z'
'-x,y,-z'
'x,-y,z'
'x+1/2,y+1/2,z'
'-x+1/2,-y+1/2,-z'
'-x+1/2,y+1/2,-z'
'x+1/2,-y+1/2,z'
loop_
_atom_site_label
_atom_site_type_symbol
_atom_site_fract_x
_atom_site_fract_y
_atom_site_fract_z
Zr1 Zr 0.2395 0.0000 0.2170
Sb1 Sb 0.0000 0.5000 0.0000
Te1 Te 0.0000 0.0000 0.5000
# - Formation energy from raw total energies: -550 meV per atom
# - Energy above the most stable polymorph in this dataset: 203 meV/atom
# - Fermi-level density of states: 4.305 states/eV/cell
# - Uncorrected energy: -6.64 eV/atom



No. 6
# ZrAsHPd2 (GGA-PBE, optimized geometry)
data_ZrAsHPd2
_cell_length_a 3.9228
_cell_length_b 3.9228
_cell_length_c 4.6352
_cell_angle_alpha 90.00
_cell_angle_beta 90.00
_cell_angle_gamma 90.00
_space_group_name_H-M_alt 'P 4/m m m'
_space_group_IT_number 123
_space_group_name_Hall '-P 4 2'
loop_
_atom_site_label
_atom_site_type_symbol
_atom_site_fract_x
_atom_site_fract_y
_atom_site_fract_z
Zr1 Zr 0.0000 0.0000 0.0000
As1 As 0.5000 0.5000 0.0000
H1 H 0.0000 0.0000 0.5000
Pd1 Pd 0.0000 0.5000 0.5000
# - Energy above the most stable polymorph in this dataset: 0 meV/atom
# - Fermi-level density of states: 1.593 states/eV/cell
# - Uncorrected energy: -5.95 eV/atom



No. 7
# Nd2Sc4Ge3H2 (GGA-PBE, optimized geometry)
data_Nd2Sc4Ge3H2
_cell_length_a 4.3585
_cell_length_b 4.3585
_cell_length_c 22.9337
_cell_angle_alpha 90.00
_cell_angle_beta 90.00
_cell_angle_gamma 90.00
_space_group_name_H-M_alt 'I 4/m m m'
_space_group_IT_number 139
_space_group_name_Hall '-I 4 2'
loop_
_atom_site_label
_atom_site_type_symbol
_atom_site_fract_x
_atom_site_fract_y
_atom_site_fract_z
Nd1 Nd 0.0000 0.0000 0.1980
Sc1 Sc 0.0000 0.5000 0.0771
Ge1 Ge 0.0000 0.0000 0.3362
Ge2 Ge 0.0000 0.0000 0.5000
H1 H 0.0000 0.0000 0.0908
# - Fermi-level density of states: 17.079 states/eV/cell
# - Uncorrected energy: -5.73 eV/atom



No. 8
# SbH2I (GGA-PBE, optimized geometry)
data_SbH2I
_cell_length_a 4.7026
_cell_length_b 4.2496
_cell_length_c 11.0876
_cell_angle_alpha 90.00
_cell_angle_beta 91.23
_cell_angle_gamma 90.00
_space_group_name_H-M_alt 'P 1 21 1'
_space_group_IT_number 4
loop_
_space_group_symop_operation_xyz
'x,y,z'
'-x,y+1/2,-z'
loop_
_atom_site_label
_atom_site_type_symbol
_atom_site_fract_x
_atom_site_fract_y
_atom_site_fract_z
Sb1 Sb 0.1825 0.0000 0.4583
H1 H 0.2861 0.3576 0.0813
H2 H 0.4044 0.2571 0.0580
I1 I 0.1440 0.2803 0.7449
# - Energy above the most stable polymorph in this dataset: 6 meV/atom
# - Uncorrected energy: -3.17 eV/atom



No. 9
# Li3ZnCu (GGA-PBE, optimized geometry)
data_Li3ZnCu
_cell_length_a 5.1731
_cell_length_b 4.3432
_cell_length_c 6.6539
_cell_angle_alpha 90.00
_cell_angle_beta 103.53
_cell_angle_gamma 90.00
_space_group_name_H-M_alt 'P 1 21 1'
_space_group_IT_number 4
loop_
_space_group_symop_operation_xyz
'x,y,z'
'-x,y+1/2,-z'
loop_
_atom_site_label
_atom_site_type_symbol
_atom_site_fract_x
_atom_site_fract_y
_atom_site_fract_z
Li1 Li 0.0549 0.9997 0.3438
Li2 Li 0.2435 0.0000 0.7550
Li3 Li 0.4393 0.0011 0.1516
Zn1 Zn 0.3608 0.4996 0.4388
Cu1 Cu 0.1314 0.5029 0.0535
# - Energy above the most stable polymorph in this dataset: 0 meV/atom
# - Fermi-level density of states: 3.718 states/eV/cell
# - Energy of formation: -0.0943 eV/atom
# - Uncorrected energy: -2.32 eV/atom



No. 10
# AcPd3 (GGA-PBE, optimized geometry)
data_AcPd3
_cell_length_a 4.3533
_cell_length_b 4.3533
_cell_length_c 8.6086
_cell_angle_alpha 90.00
_cell_angle_beta 90.00
_cell_angle_gamma 90.00
_space_group_name_H-M_alt 'I 4/m m m'
_space_group_IT_number 139
_space_group_name_Hall '-I 4 2'
loop_
_atom_site_label
_atom_site_type_symbol
_atom_site_fract_x
_atom_site_fract_y
_atom_site_fract_z
Ac1 Ac 0.0000 0.0000 0.0000
Pd1 Pd 0.0000 0.0000 0.5000
Pd2 Pd 0.0000 0.5000 0.2500
# - Fermi-level density of states: 6.227 states/eV/cell
# - Energy of formation: -0.6303 eV/atom
# - Uncorrected energy: -5.55 eV/atom



No. 11
# Nd4IrAu (GGA-PBE, optimized geometry)
data_Nd4IrAu
_cell_length_a 13.9172
_cell_length_b 13.9172
_cell_length_c 13.9172
_cell_angle_alpha 90.00
_cell_angle_beta 90.00
_cell_angle_gamma 90.00
_space_group_name_H-M_alt 'F -4 3 m'
_space_group_IT_number 216
_space_group_name_Hall 'F -4 2 3'
loop_
_atom_site_label
_atom_site_type_symbol
_atom_site_fract_x
_atom_site_fract_y
_atom_site_fract_z
Nd1 Nd 0.0000 0.0000 0.1887
Nd2 Nd 0.0579 0.2500 0.7500
Nd3 Nd 0.1031 0.1031 0.3969
Ir1 Ir 0.1078 0.1078 0.6078
Au1 Au 0.1605 0.1605 0.1605
# - Energy above the most stable polymorph in this dataset: 0 meV/atom
# - Fermi-level density of states: 89.193 states/eV/cell
# - Energy of formation: -0.5447 eV/atom
# - Uncorrected energy: -5.75 eV/atom



No. 12
# LiGa4NiPt2 (GGA-PBE, optimized geometry)
data_LiGa4NiPt2
_cell_length_a 4.3308
_cell_length_b 4.3308
_cell_length_c 21.3770
_cell_angle_alpha 90.00
_cell_angle_beta 90.00
_cell_angle_gamma 120.00
_space_group_name_H-M_alt 'R -3 m'
_space_group_IT_number 166
_space_group_name_Hall '-R 3 2"'
loop_
_atom_site_label
_atom_site_type_symbol
_atom_site_fract_x
_atom_site_fract_y
_atom_site_fract_z
Li1 Li 0.0000 0.0000 0.0000
Ga1 Ga 0.0000 0.0000 0.1289
Ga2 Ga 0.0000 0.0000 0.3786
Ni1 Ni 0.0000 0.0000 0.5000
Pt1 Pt 0.0000 0.0000 0.2545
# - Fermi-level density of states: 8.097 states/eV/cell
# - Energy of formation: -0.5265 eV/atom
# - Uncorrected energy: -4.51 eV/atom